VASP calculation (PBE) on a relaxed Ti2HgPd crystal.

Lattice parameters (Å, degrees): 7.401 7.401 5.429 90.00 90.00 90.00
Space group I-42d (No. 122)
One atom of each set of equivalent atoms:
Ti1 0.218 0.250 0.125 x8
Hg1 0.000 0.000 0.500 x4
Pd1 0.000 0.000 0.000 x4

Output
Total energy in eV per atom: -5.236
Magnetization in μB per cell: 0.00



VASP calculation (PBE) on a relaxed Sr2CrSn crystal.

Lattice parameters (Å, degrees): 8.941 8.941 7.012 90.00 90.00 90.00
Space group I-42d (No. 122)
One atom of each set of equivalent atoms:
Sr1 0.246 0.250 0.125 x8
Cr1 0.000 0.000 0.000 x4
Sn1 0.000 0.000 0.500 x4

Output
Total energy in eV per atom: -3.859
Magnetization in μB per cell: 18.62



no.,formation energy from the elements (meV per atom)
1,85
2,388